LiCa2SnN | PBE | optimized geometry

```
LiCa2SnN
1.0
4.889 0.000 0.000
0.000 4.889 0.000
0.000 0.000 4.433
Li Ca Sn N
1 2 1 1
Cartesian
0.000 0.000 0.000 Li
0.000 2.445 2.216 Ca
2.445 0.000 2.216 Ca
2.445 2.445 0.000 Sn
0.000 0.000 2.216 N
```

* symmetry: P4/mmm (123)
* formation energy without anion corrections: -0.52 eV/atom
* DFT total energy: -4.1713 eV/atom
* volume: 21.19 A^3/atom